First-principles (PBE+U) data for a relaxed V3SeF crystal, as listed in the Alexandria database.

abc: 4.934 4.934 4.934
angles: 90.00 90.00 90.00
Element x y z (fractional)
V (0.000, 0.000, 0.500)
V (0.000, 0.500, 0.000)
V (0.500, 0.000, 0.000)
Se (0.000, 0.000, 0.000)
F (0.500, 0.500, 0.500)

## Properties
**Electronic total energy**: -24.21 eV per cell
**Crystal system**: cubic
**Energy above the most stable polymorph in this dataset**: 0.0 meV/atom